No. 1
Mo2PdAu at its PBEsol-relaxed geometry, computed with SCAN.

```
Mo2PdAu
1.0
0.000 3.154 3.154
3.154 0.000 3.154
3.154 3.154 0.000
Mo Pd Au
2 1 1
Direct
0.250 0.250 0.250
0.750 0.750 0.750
0.000 0.000 0.000
0.500 0.500 0.500
```

Results
Calculated volume ... 15.69 Å³/atom
ΔH_f (0 K) ... 0.576 eV/atom
Magnetic moment ... 0.001 μB per atom
Uncorrected energy ... -42.35 eV/atom



No. 2
TlMoPd2Au at its PBEsol-relaxed geometry, computed with SCAN.

```
TlMoPd2Au
1.0
4.929 0.000 0.000
0.000 4.929 0.000
0.000 0.000 4.976
Tl Mo Pd Au
1 1 2 1
Direct
0.000 0.000 0.000
0.500 0.500 0.000
0.000 0.500 0.500
0.500 0.000 0.500
0.000 0.000 0.500
```

Results
Calculated volume ... 24.18 Å³/atom
ΔH_f (0 K) ... 1.303 eV/atom
Magnetic moment ... 0.846 μB per atom
Uncorrected energy ... -47.09 eV/atom



No. 3
MoPtAu2 at its PBEsol-relaxed geometry, computed with SCAN.

```
MoPtAu2
1.0
0.000 3.169 3.169
3.169 0.000 3.169
3.169 3.169 0.000
Mo Pt Au
1 1 2
Direct
0.000 0.000 0.000
0.500 0.500 0.500
0.250 0.250 0.250
0.750 0.750 0.750
```

Results
Calculated volume ... 15.92 Å³/atom
Relative energy among the computed polymorphs ... 0.00 eV/f.u.
ΔH_f (0 K) ... 0.217 eV/atom
Magnetic moment ... 0.000 μB per atom
Uncorrected energy ... -60.63 eV/atom



No. 4
Mo2PtAu at its PBEsol-relaxed geometry, computed with SCAN.

```
Mo2PtAu
1.0
2.729 0.000 0.000
0.000 2.729 0.000
0.000 0.000 8.358
Mo Pt Au
2 1 1
Direct
0.000 0.000 0.000
0.500 0.500 0.263
0.000 0.000 0.485
0.500 0.500 0.752
```

Results
Calculated volume ... 15.56 Å³/atom
Relative energy among the computed polymorphs ... 0.00 eV/f.u.
ΔH_f (0 K) ... -0.050 eV/atom
Magnetic moment ... 0.000 μB per atom
Uncorrected energy ... -52.33 eV/atom



No. 5
MoPtAu2 at its PBEsol-relaxed geometry, computed with SCAN.

```
MoPtAu2
1.0
4.099 0.000 0.000
0.000 4.099 0.000
0.000 0.000 3.847
Mo Pt Au
1 1 2
Direct
0.000 0.000 0.000
0.500 0.500 0.000
0.000 0.500 0.500
0.500 0.000 0.500
```

Results
Calculated volume ... 16.16 Å³/atom
Relative energy among the computed polymorphs ... 0.22 eV/f.u.
ΔH_f (0 K) ... 0.271 eV/atom
Magnetic moment ... 0.882 μB per atom
Uncorrected energy ... -60.58 eV/atom



No. 6
Mo2PtAu at its PBEsol-relaxed geometry, computed with SCAN.

```
Mo2PtAu
1.0
4.784 0.000 0.000
0.000 2.776 0.000
-1.593 0.000 4.644
Mo Pt Au
2 1 1
Direct
0.000 0.000 0.000
0.500 0.500 0.000
0.000 0.500 0.500
0.500 0.000 0.500
```

Results
Calculated volume ... 15.42 Å³/atom
Relative energy among the computed polymorphs ... 0.71 eV/f.u.
ΔH_f (0 K) ... 0.127 eV/atom
Magnetic moment ... 0.000 μB per atom
Uncorrected energy ... -52.15 eV/atom



No. 7
Mo2PtAu at its PBEsol-relaxed geometry, computed with SCAN.

```
Mo2PtAu
1.0
0.000 3.152 3.152
3.152 0.000 3.152
3.152 3.152 0.000
Mo Pt Au
2 1 1
Direct
0.000 0.000 0.000
0.250 0.250 0.250
0.500 0.500 0.500
0.750 0.750 0.750
```

Results
Calculated volume ... 15.65 Å³/atom
Relative energy among the computed polymorphs ... 0.94 eV/f.u.
ΔH_f (0 K) ... 0.184 eV/atom
Magnetic moment ... 0.000 μB per atom
Uncorrected energy ... -52.10 eV/atom



No. 8
MoPtAu at its PBEsol-relaxed geometry, computed with SCAN.

```
MoPtAu
1.0
0.000 3.033 3.033
3.033 0.000 3.033
3.033 3.033 0.000
Mo Pt Au
1 1 1
Direct
0.000 0.000 0.000
0.250 0.250 0.250
0.750 0.750 0.750
```

Results
Calculated volume ... 18.61 Å³/atom
ΔH_f (0 K) ... 0.424 eV/atom
Magnetic moment ... 0.365 μB per atom
Uncorrected energy ... -57.65 eV/atom



No. 9
ReMo2Au at its PBEsol-relaxed geometry, computed with SCAN.

```
ReMo2Au
1.0
3.304 0.000 0.000
0.000 3.304 0.000
0.000 0.000 5.714
Re Mo Au
1 2 1
Direct
0.000 0.000 0.000
0.500 0.500 0.229
0.500 0.500 0.771
0.000 0.000 0.500
```

Results
Calculated volume ... 15.60 Å³/atom
Relative energy among the computed polymorphs ... 0.29 eV/f.u.
ΔH_f (0 K) ... 0.196 eV/atom
Magnetic moment ... 0.000 μB per atom
Uncorrected energy ... -52.31 eV/atom



No. 10
ReMoAu4 at its PBEsol-relaxed geometry, computed with SCAN.

```
ReMoAu4
1.0
0.000 3.697 3.697
3.697 0.000 3.697
3.697 3.697 0.000
Re Mo Au
1 1 4
Direct
0.000 0.000 0.000
0.750 0.750 0.750
0.375 0.375 0.375
0.375 0.375 0.875
0.375 0.875 0.375
0.875 0.375 0.375
```

Results
Calculated volume ... 16.85 Å³/atom
ΔH_f (0 K) ... 0.867 eV/atom
Magnetic moment ... 0.058 μB per atom
Uncorrected energy ... -62.90 eV/atom



No. 11
ReMo2Au at its PBEsol-relaxed geometry, computed with SCAN.

```
ReMo2Au
1.0
-1.976 1.976 3.898
1.976 -1.976 3.898
1.976 1.976 -3.898
Re Mo Au
1 2 1
Direct
0.000 0.000 0.000
0.250 0.750 0.500
0.750 0.250 0.500
0.500 0.500 0.000
```

Results
Calculated volume ... 15.22 Å³/atom
Relative energy among the computed polymorphs ... 0.00 eV/f.u.
ΔH_f (0 K) ... 0.123 eV/atom
Magnetic moment ... 0.000 μB per atom
Uncorrected energy ... -52.38 eV/atom



No. 12
ReMoAu at its PBEsol-relaxed geometry, computed with SCAN.

```
ReMoAu
1.0
-1.392 1.392 6.017
1.392 -1.392 6.017
1.392 1.392 -6.017
Re Mo Au
1 1 1
Direct
0.000 0.000 0.000
0.349 0.349 0.000
0.674 0.674 0.000
```

Results
Calculated volume ... 15.55 Å³/atom
Relative energy among the computed polymorphs ... 0.17 eV/f.u.
ΔH_f (0 K) ... 0.343 eV/atom
Magnetic moment ... 0.000 μB per atom
Uncorrected energy ... -58.04 eV/atom